No. 1
DFT (PBE) results for ScNbTc after structural relaxation.

Cell and atoms, written as extended XYZ:
```
3
Lattice="0.0000 3.1207 3.1207 3.1207 0.0000 3.1207 3.1207 3.1207 0.0000" Properties=species:S:1:pos:R:3 pbc="T T T"
Sc 0.0000 0.0000 0.0000
Nb 3.1207 3.1207 3.1207
Tc 4.6810 4.6810 4.6810
```

## Properties
ΔE to the lowest computed polymorph	1.43	eV/f.u.
total energy	-0.6412	Ry/atom
size of the total moment	0.0	μB/f.u.
crystal system	cubic
SG	No. 216
ΔE_f	0.20	eV per atom

***

No. 2
DFT (PBE) results for LuCuSiW after structural relaxation.

Cell and atoms, written as extended XYZ:
```
4
Lattice="0.0000 3.1781 3.1781 3.1781 0.0000 3.1781 3.1781 3.1781 0.0000" Properties=species:S:1:pos:R:3 pbc="T T T"
Lu 0.0000 0.0000 0.0000
Cu 4.7671 4.7671 4.7671
Si 3.1781 3.1781 3.1781
W 1.5890 1.5890 1.5890
```

## Properties
ΔE to the lowest computed polymorph	0.00	eV/f.u.
total energy	-0.4647	Ry/atom
size of the total moment	0.0	μB/f.u.
crystal system	cubic
SG	No. 216

***

No. 3
DFT (PBE) results for CuBiSbF after structural relaxation.

Cell and atoms, written as extended XYZ:
```
8
Lattice="3.9877 0.0000 0.0000 0.0000 3.9877 0.0000 0.0000 0.0000 9.8815" Properties=species:S:1:pos:R:3 pbc="T T T"
Cu 0.9969 2.9908 0.0000
Cu 2.9908 0.9969 0.0000
Bi 0.9969 0.9969 3.2965
Bi 2.9908 2.9908 6.5849
Sb 0.9969 0.9969 8.0719
Sb 2.9908 2.9908 1.8096
F 0.9969 2.9908 4.9407
F 2.9908 0.9969 4.9407
```

## Properties
ΔE to the lowest computed polymorph	0.07	eV/f.u.
total energy	-0.2969	Ry/atom
crystal system	tetragonal
SG	No. 129

***

No. 4
DFT (PBE) results for Er2AlGa3Ni2 after structural relaxation.

Cell and atoms, written as extended XYZ:
```
8
Lattice="4.9984 -2.0282 0.0000 4.9984 2.0282 0.0000 -0.0472 0.0000 6.7273" Properties=species:S:1:pos:R:3 pbc="T T T"
Er 0.0000 0.0000 0.0000
Er 1.3140 0.0000 3.3913
Al 7.1924 0.0000 1.3181
Ga 4.1940 0.0000 2.0408
Ga 4.1790 0.0000 4.6953
Ga 7.0871 0.0000 5.4122
Ni 2.7864 0.0000 0.0062
Ni 8.4892 0.0000 3.3881
```

## Properties
total energy	-0.3522	Ry/atom
size of the total moment	0.0	μB/f.u.
crystal system	monoclinic
SG	No. 8

***

No. 5
DFT (PBE) results for Zr2ClF after structural relaxation.

Cell and atoms, written as extended XYZ:
```
4
Lattice="1.6760 0.9677 8.2781 -1.6760 0.9677 8.2781 0.0000 -1.9353 8.2781" Properties=species:S:1:pos:R:3 pbc="T T T"
Zr 0.0000 0.0000 0.0000
Zr 0.0000 0.0000 5.8942
Cl 0.0000 0.0000 12.3933
F 0.0000 0.0000 17.8038
```

## Properties
total energy	-0.5113	Ry/atom
size of the total moment	0.0	μB/f.u.
crystal system	trigonal
SG	No. 160

***

No. 6
DFT (PBE) results for HfTaCoSb after structural relaxation.

Cell and atoms, written as extended XYZ:
```
4
Lattice="0.0000 3.2810 3.2810 3.2810 0.0000 3.2810 3.2810 3.2810 0.0000" Properties=species:S:1:pos:R:3 pbc="T T T"
Hf 0.0000 0.0000 0.0000
Ta 1.6405 1.6405 1.6405
Co 4.9214 4.9214 4.9214
Sb 3.2810 3.2810 3.2810
```

## Properties
ΔE to the lowest computed polymorph	0.00	eV/f.u.
total energy	-0.5895	Ry/atom
size of the total moment	1.2	μB/f.u.
crystal system	cubic
SG	No. 216

***

No. 7
DFT (PBE) results for K2CdCuBr6 after structural relaxation.

Cell and atoms, written as extended XYZ:
```
10
Lattice="0.0000 5.3551 5.3551 5.3551 0.0000 5.3551 5.3551 5.3551 0.0000" Properties=species:S:1:pos:R:3 pbc="T T T"
K 2.6776 2.6776 2.6776
K 8.0327 8.0327 8.0327
Cd 0.0000 0.0000 0.0000
Cu 5.3551 5.3551 5.3551
Br 5.3551 5.3551 2.7667
Br 5.3551 2.7667 5.3551
Br 7.9435 5.3551 5.3551
Br 2.7667 5.3551 5.3551
Br 5.3551 7.9435 5.3551
Br 5.3551 5.3551 7.9435
```

## Properties
total energy	-0.1953	Ry/atom
crystal system	cubic
SG	No. 225

***

No. 8
DFT (PBE) results for ZrBeZnPt after structural relaxation.

Cell and atoms, written as extended XYZ:
```
4
Lattice="0.0000 3.0861 3.0861 3.0861 0.0000 3.0861 3.0861 3.0861 0.0000" Properties=species:S:1:pos:R:3 pbc="T T T"
Zr 0.0000 0.0000 0.0000
Be 1.5430 1.5430 1.5430
Zn 4.6291 4.6291 4.6291
Pt 3.0861 3.0861 3.0861
```

## Properties
ΔE to the lowest computed polymorph	0.01	eV/f.u.
total energy	-0.3950	Ry/atom
size of the total moment	0.0	μB/f.u.
crystal system	cubic
SG	No. 216